LiAc2FeO6 | PBE with a Hubbard U | relaxed

a b c (Å): 5.567 5.567 5.593
angles (deg): 120.12 120.12 59.89
Element x y z (fractional)
Li 0.000 0.000 0.000
Ac 0.250 0.250 0.750
Ac 0.750 0.750 0.250
Fe 0.500 0.500 0.500
O 0.245 0.725 0.723
O 0.261 0.261 0.231
O 0.275 0.755 0.277
O 0.725 0.245 0.723
O 0.739 0.739 0.769
O 0.755 0.275 0.277

E = -6.94 eV per atom
Total moment = 2.96 μB/cell
SG = C2/m